1.
## AcEr2Si (GGA-PBE)

Data for a geometry-optimized AcEr2Si structure.

a = 11.162 Å, b = 11.162 Å, c = 11.162 Å
α = 19.15°, β = 19.15°, γ = 19.15°
Positions (direct):
Ac 0.000 0.000 0.000
Er 0.112 0.112 0.112
Er 0.888 0.888 0.888
Si 0.500 0.500 0.500

Results
ΔE_f (raw) ... -3 kJ/mol of atoms
Symmetry ... R-3m
Total magnetic moment ... 0.0 μB/cell
Total energy ... -4.70 eV/atom


2.
## Ac3ErSi7 (GGA-PBE)

Data for a geometry-optimized Ac3ErSi7 structure.

a = 10.023 Å, b = 10.023 Å, c = 11.983 Å
α = 90.00°, β = 90.00°, γ = 154.66°
Positions (direct):
Ac 0.106 0.894 0.548
Ac 0.106 0.894 0.952
Ac 0.246 0.754 0.250
Ac 0.754 0.246 0.750
Ac 0.894 0.106 0.048
Ac 0.894 0.106 0.452
Er 0.046 0.954 0.250
Er 0.954 0.046 0.750
Si 0.270 0.730 0.533
Si 0.270 0.730 0.967
Si 0.367 0.633 0.651
Si 0.367 0.633 0.849
Si 0.429 0.571 0.250
Si 0.488 0.512 0.597
Si 0.488 0.512 0.903
Si 0.512 0.488 0.097
Si 0.512 0.488 0.403
Si 0.571 0.429 0.750
Si 0.633 0.367 0.151
Si 0.633 0.367 0.349
Si 0.730 0.270 0.033
Si 0.730 0.270 0.467

Results
ΔE_f (raw) ... -55 kJ/mol of atoms
Symmetry ... Cmcm
Total magnetic moment ... 0.0 μB/cell
Total energy ... -5.56 eV/atom


3.
## AcErSi3 (GGA-PBE)

Data for a geometry-optimized AcErSi3 structure.

a = 12.656 Å, b = 12.656 Å, c = 4.008 Å
α = 90.00°, β = 90.00°, γ = 159.56°
Positions (direct):
Ac 0.073 0.927 0.750
Ac 0.927 0.073 0.250
Er 0.203 0.797 0.250
Er 0.797 0.203 0.750
Si 0.318 0.682 0.250
Si 0.376 0.624 0.750
Si 0.474 0.526 0.750
Si 0.526 0.474 0.250
Si 0.624 0.376 0.250
Si 0.682 0.318 0.750

Results
ΔE_f (raw) ... -61 kJ/mol of atoms
Symmetry ... Cmcm
Total magnetic moment ... 0.0 μB/cell
Total energy ... -5.62 eV/atom


4.
## AcErZnSi (GGA-PBE)

Data for a geometry-optimized AcErZnSi structure.

a = 5.215 Å, b = 5.215 Å, c = 5.215 Å
α = 60.00°, β = 60.00°, γ = 60.00°
Positions (direct):
Ac 0.000 0.000 0.000
Er 0.500 0.500 0.500
Zn 0.250 0.250 0.250
Si 0.750 0.750 0.750

Results
ΔE_f (raw) ... -32 kJ/mol of atoms
Symmetry ... F-43m
Total magnetic moment ... 0.0 μB/cell
Total energy ... -4.17 eV/atom


5.
## AcSmEr5 (GGA-PBE)

Data for a geometry-optimized AcSmEr5 structure.

a = 6.279 Å, b = 6.279 Å, c = 7.036 Å
α = 90.00°, β = 90.00°, γ = 114.57°
Positions (direct):
Ac 0.000 0.000 0.000
Sm 0.500 0.500 0.500
Er 0.000 0.000 0.500
Er 0.000 0.500 0.262
Er 0.000 0.500 0.738
Er 0.500 0.000 0.262
Er 0.500 0.000 0.738

Results
DFT formation energy ... 0.293 eV/atom
Symmetry ... Cmmm
Total magnetic moment ... 0.0 μB/cell
Total energy ... -4.23 eV/atom


6.
## Ac2Sm15Er2 (GGA-PBE)

Data for a geometry-optimized Ac2Sm15Er2 structure.

a = 8.908 Å, b = 8.908 Å, c = 8.908 Å
α = 79.17°, β = 79.17°, γ = 79.17°
Positions (direct):
Ac 0.107 0.107 0.107
Ac 0.893 0.893 0.893
Sm 0.000 0.000 0.500
Sm 0.000 0.306 0.694
Sm 0.000 0.500 0.000
Sm 0.000 0.694 0.306
Sm 0.159 0.622 0.622
Sm 0.306 0.000 0.694
Sm 0.306 0.694 0.000
Sm 0.378 0.378 0.841
Sm 0.378 0.841 0.378
Sm 0.500 0.000 0.000
Sm 0.622 0.159 0.622
Sm 0.622 0.622 0.159
Sm 0.694 0.000 0.306
Sm 0.694 0.306 0.000
Sm 0.841 0.378 0.378
Er 0.325 0.325 0.325
Er 0.675 0.675 0.675

Results
DFT formation energy ... 0.290 eV/atom
Symmetry ... R-3m
Total magnetic moment ... 0.0 μB/cell
Total energy ... -4.35 eV/atom


7.
## Ac4Sm2Er (GGA-PBE)

Data for a geometry-optimized Ac4Sm2Er structure.

a = 12.074 Å, b = 7.662 Å, c = 11.279 Å
α = 76.57°, β = 38.12°, γ = 65.32°
Positions (direct):
Ac 0.049 0.951 0.277
Ac 0.063 0.466 0.774
Ac 0.466 0.063 0.697
Ac 0.476 0.553 0.187
Ac 0.527 0.973 0.299
Ac 0.553 0.476 0.784
Ac 0.951 0.049 0.723
Ac 0.973 0.527 0.201
Sm 0.104 0.409 0.420
Sm 0.184 0.830 0.841
Sm 0.409 0.104 0.066
Sm 0.830 0.184 0.146
Er 0.513 0.513 0.487
Er 0.763 0.763 0.737

Results
DFT formation energy ... 0.252 eV/atom
Symmetry ... Fdd2
Total magnetic moment ... 0.0 μB/cell
Total energy ... -4.10 eV/atom


8.
## Ac2Sm4Er5 (GGA-PBE)

Data for a geometry-optimized Ac2Sm4Er5 structure.

a = 12.327 Å, b = 12.327 Å, c = 9.315 Å
α = 111.36°, β = 111.36°, γ = 17.02°
Positions (direct):
Ac 0.112 0.112 0.425
Ac 0.888 0.888 0.575
Sm 0.044 0.044 0.716
Sm 0.316 0.316 0.161
Sm 0.684 0.684 0.839
Sm 0.956 0.956 0.284
Er 0.131 0.131 0.074
Er 0.267 0.267 0.662
Er 0.500 0.500 0.000
Er 0.733 0.733 0.338
Er 0.869 0.869 0.926

Results
DFT formation energy ... 0.134 eV/atom
Symmetry ... C2/m
Total magnetic moment ... 0.0 μB/cell
Total energy ... -4.40 eV/atom


9.
## Ac5Sm4Er2 (GGA-PBE)

Data for a geometry-optimized Ac5Sm4Er2 structure.

a = 9.325 Å, b = 3.684 Å, c = 12.492 Å
α = 90.00°, β = 92.69°, γ = 90.00°
Positions (direct):
Ac 0.000 0.000 0.000
Ac 0.199 0.000 0.524
Ac 0.284 0.000 0.819
Ac 0.716 0.000 0.181
Ac 0.801 0.000 0.476
Sm 0.079 0.500 0.265
Sm 0.462 0.500 0.354
Sm 0.538 0.500 0.646
Sm 0.921 0.500 0.735
Er 0.347 0.000 0.122
Er 0.653 0.000 0.878

Results
DFT formation energy ... 0.170 eV/atom
Symmetry ... P2/m
Total magnetic moment ... 0.0 μB/cell
Total energy ... -4.24 eV/atom


10.
## Ac2Sm5Er (GGA-PBE)

Data for a geometry-optimized Ac2Sm5Er structure.

a = 11.005 Å, b = 11.005 Å, c = 11.005 Å
α = 152.29°, β = 152.29°, γ = 39.59°
Positions (direct):
Ac 0.250 0.250 0.000
Ac 0.750 0.750 0.000
Sm 0.000 0.000 0.000
Sm 0.118 0.618 0.500
Sm 0.382 0.882 0.500
Sm 0.618 0.118 0.500
Sm 0.882 0.382 0.500
Er 0.500 0.500 0.000

Results
DFT formation energy ... 0.043 eV/atom
Symmetry ... I4/mmm
Total magnetic moment ... 0.0 μB/cell
Total energy ... -4.50 eV/atom


11.
## Ac2Sm8Er (GGA-PBE)

Data for a geometry-optimized Ac2Sm8Er structure.

a = 9.041 Å, b = 9.041 Å, c = 7.013 Å
α = 100.28°, β = 100.28°, γ = 44.77°
Positions (direct):
Ac 0.197 0.197 0.307
Ac 0.803 0.803 0.693
Sm 0.179 0.651 0.104
Sm 0.244 0.244 0.818
Sm 0.349 0.821 0.896
Sm 0.413 0.413 0.593
Sm 0.587 0.587 0.407
Sm 0.651 0.179 0.104
Sm 0.756 0.756 0.182
Sm 0.821 0.349 0.896
Er 0.000 0.000 0.500

Results
DFT formation energy ... 0.153 eV/atom
Symmetry ... C2/m
Total magnetic moment ... 0.0 μB/cell
Total energy ... -4.44 eV/atom


12.
## AcSm12Er7 (GGA-PBE)

Data for a geometry-optimized AcSm12Er7 structure.

a = 8.779 Å, b = 8.779 Å, c = 8.779 Å
α = 88.44°, β = 88.44°, γ = 88.44°
Positions (direct):
Ac 0.000 0.000 0.000
Sm 0.140 0.496 0.625
Sm 0.141 0.722 0.275
Sm 0.275 0.141 0.722
Sm 0.278 0.725 0.859
Sm 0.375 0.860 0.504
Sm 0.496 0.625 0.140
Sm 0.504 0.375 0.860
Sm 0.625 0.140 0.496
Sm 0.722 0.275 0.141
Sm 0.725 0.859 0.278
Sm 0.859 0.278 0.725
Sm 0.860 0.504 0.375
Er 0.060 0.154 0.388
Er 0.154 0.388 0.060
Er 0.388 0.060 0.154
Er 0.500 0.500 0.500
Er 0.612 0.940 0.846
Er 0.846 0.612 0.940
Er 0.940 0.846 0.612

Results
DFT formation energy ... 0.228 eV/atom
Symmetry ... R-3
Total magnetic moment ... 0.0 μB/cell
Total energy ... -4.41 eV/atom
Excess energy over the best structure of this formula in the dataset ... 0 meV per atom


13.
## Ac8Sm2Er3 (GGA-PBE)

Data for a geometry-optimized Ac8Sm2Er3 structure.

a = 11.238 Å, b = 11.238 Å, c = 6.101 Å
α = 90.02°, β = 90.02°, γ = 44.35°
Positions (direct):
Ac 0.101 0.691 0.000
Ac 0.175 0.175 0.500
Ac 0.309 0.899 0.000
Ac 0.374 0.374 0.500
Ac 0.626 0.626 0.500
Ac 0.691 0.101 0.000
Ac 0.825 0.825 0.500
Ac 0.899 0.309 0.000
Sm 0.262 0.262 0.001
Sm 0.738 0.738 0.999
Er 0.202 0.798 0.500
Er 0.500 0.500 0.000
Er 0.798 0.202 0.500

Results
DFT formation energy ... 0.226 eV/atom
Symmetry ... C2/m
Total magnetic moment ... 0.0 μB/cell
Total energy ... -4.08 eV/atom


14.
## Ac7SmEr2 (GGA-PBE)

Data for a geometry-optimized Ac7SmEr2 structure.

a = 9.646 Å, b = 9.646 Å, c = 6.122 Å
α = 90.00°, β = 90.00°, γ = 116.51°
Positions (direct):
Ac 0.000 0.000 0.000
Ac 0.190 0.439 0.000
Ac 0.258 0.742 0.500
Ac 0.439 0.190 0.000
Ac 0.561 0.810 0.000
Ac 0.742 0.258 0.500
Ac 0.810 0.561 0.000
Sm 0.500 0.500 0.500
Er 0.202 0.798 0.000
Er 0.798 0.202 0.000

Results
DFT formation energy ... 0.627 eV/atom
Symmetry ... Cmmm
Total magnetic moment ... 0.0 μB/cell
Total energy ... -3.63 eV/atom


15.
## AcSm2Er4 (GGA-PBE)

Data for a geometry-optimized AcSm2Er4 structure.

a = 6.867 Å, b = 8.546 Å, c = 9.329 Å
α = 65.84°, β = 71.66°, γ = 77.02°
Positions (direct):
Ac 0.000 0.000 0.000
Ac 0.471 0.895 0.139
Sm 0.133 0.557 0.299
Sm 0.283 0.138 0.575
Sm 0.338 0.338 0.840
Sm 0.618 0.469 0.419
Er 0.037 0.185 0.276
Er 0.184 0.755 0.566
Er 0.434 0.707 0.862
Er 0.565 0.289 0.155
Er 0.718 0.850 0.447
Er 0.754 0.042 0.694
Er 0.855 0.429 0.723
Er 0.907 0.607 0.981

Results
DFT formation energy ... 0.036 eV/atom
Symmetry ... P1
Total magnetic moment ... 0.0 μB/cell
Total energy ... -4.51 eV/atom
Excess energy over the best structure of this formula in the dataset ... 0 meV per atom


16.
## AcSm3Er3 (GGA-PBE)

Data for a geometry-optimized AcSm3Er3 structure.

a = 9.720 Å, b = 9.720 Å, c = 5.818 Å
α = 90.00°, β = 90.00°, γ = 120.00°
Positions (direct):
Ac 0.333 0.667 0.250
Ac 0.667 0.333 0.750
Sm 0.094 0.624 0.750
Sm 0.376 0.471 0.750
Sm 0.471 0.094 0.250
Sm 0.529 0.906 0.750
Sm 0.624 0.529 0.250
Sm 0.906 0.376 0.250
Er 0.043 0.814 0.250
Er 0.186 0.229 0.250
Er 0.229 0.043 0.750
Er 0.771 0.957 0.250
Er 0.814 0.771 0.750
Er 0.957 0.186 0.750

Results
DFT formation energy ... 0.040 eV/atom
Symmetry ... P6_3/m
Total magnetic moment ... 0.0 μB/cell
Total energy ... -4.53 eV/atom


17.
## AcSmEr4 (GGA-PBE)

Data for a geometry-optimized AcSmEr4 structure.

a = 6.698 Å, b = 6.698 Å, c = 6.698 Å
α = 60.00°, β = 60.00°, γ = 60.00°
Positions (direct):
Ac 0.000 0.000 0.000
Sm 0.250 0.250 0.250
Er 0.128 0.624 0.624
Er 0.624 0.128 0.624
Er 0.624 0.624 0.128
Er 0.624 0.624 0.624

Results
DFT formation energy ... 0.278 eV/atom
Symmetry ... F-43m
Total magnetic moment ... 4.2 μB/cell
Total energy ... -4.24 eV/atom
Excess energy over the best structure of this formula in the dataset ... 233 meV per atom


18.
## AcSm6Er12 (GGA-PBE)

Data for a geometry-optimized AcSm6Er12 structure.

a = 9.194 Å, b = 9.194 Å, c = 9.194 Å
α = 105.46°, β = 105.46°, γ = 105.46°
Positions (direct):
Ac 0.000 0.000 0.000
Sm 0.292 0.696 0.696
Sm 0.304 0.304 0.708
Sm 0.304 0.708 0.304
Sm 0.696 0.292 0.696
Sm 0.696 0.696 0.292
Sm 0.708 0.304 0.304
Er 0.113 0.500 0.887
Er 0.113 0.887 0.500
Er 0.114 0.355 0.355
Er 0.355 0.114 0.355
Er 0.355 0.355 0.114
Er 0.500 0.113 0.887
Er 0.500 0.887 0.113
Er 0.645 0.645 0.886
Er 0.645 0.886 0.645
Er 0.886 0.645 0.645
Er 0.887 0.113 0.500
Er 0.887 0.500 0.113

Results
DFT formation energy ... 0.437 eV/atom
Symmetry ... R-3m
Total magnetic moment ... 0.0 μB/cell
Total energy ... -4.15 eV/atom


19.
## AcSm12Er2 (GGA-PBE)

Data for a geometry-optimized AcSm12Er2 structure.

a = 6.770 Å, b = 6.770 Å, c = 24.867 Å
α = 92.22°, β = 92.22°, γ = 115.09°
Positions (direct):
Ac 0.249 0.249 0.493
Ac 0.751 0.751 0.507
Sm 0.062 0.539 0.704
Sm 0.072 0.592 0.830
Sm 0.127 0.127 0.074
Sm 0.147 0.625 0.055
Sm 0.214 0.214 0.349
Sm 0.233 0.732 0.423
Sm 0.268 0.767 0.577
Sm 0.282 0.282 0.636
Sm 0.349 0.349 0.922
Sm 0.375 0.853 0.945
Sm 0.408 0.928 0.170
Sm 0.461 0.938 0.296
Sm 0.539 0.062 0.704
Sm 0.592 0.072 0.830
Sm 0.625 0.147 0.055
Sm 0.651 0.651 0.078
Sm 0.718 0.718 0.364
Sm 0.732 0.233 0.423
Sm 0.767 0.268 0.577
Sm 0.786 0.786 0.651
Sm 0.853 0.375 0.945
Sm 0.873 0.873 0.926
Sm 0.928 0.408 0.170
Sm 0.938 0.461 0.296
Er 0.076 0.076 0.775
Er 0.440 0.440 0.223
Er 0.560 0.560 0.777
Er 0.924 0.924 0.225

Results
DFT formation energy ... 0.110 eV/atom
Symmetry ... C2/m
Total magnetic moment ... 0.0 μB/cell
Total energy ... -4.55 eV/atom


20.
## Ac2Sm5Er4 (GGA-PBE)

Data for a geometry-optimized Ac2Sm5Er4 structure.

a = 3.679 Å, b = 8.935 Å, c = 12.070 Å
α = 105.01°, β = 98.74°, γ = 90.03°
Positions (direct):
Ac 0.091 0.223 0.179
Ac 0.909 0.777 0.821
Sm 0.000 0.500 0.000
Sm 0.272 0.687 0.543
Sm 0.362 0.402 0.725
Sm 0.638 0.598 0.275
Sm 0.728 0.313 0.457
Er 0.182 0.953 0.365
Er 0.450 0.143 0.901
Er 0.550 0.857 0.099
Er 0.818 0.047 0.635

Results
DFT formation energy ... 0.041 eV/atom
Symmetry ... P-1
Total magnetic moment ... 0.0 μB/cell
Total energy ... -4.51 eV/atom